#i
First-principles (PBE with a Hubbard U) data for a relaxed structure of VP3O, as listed in Alexandria.

Geometry as POSCAR:
```
VP3O
1.0
4.128 0.000 0.000
0.000 4.128 0.000
0.000 0.000 4.128
P O V
3 1 1
direct
0.000 0.500 0.000 P
0.500 0.000 0.000 P
0.000 0.000 0.500 P
0.000 0.000 0.000 O
0.500 0.500 0.500 V
```

Summary:
- Fermi-level density of states (states/eV/atom) = 0.641
- M_tot (Bohr magnetons per cell) = 2.193

***

#ii
First-principles (PBE with a Hubbard U) data for a relaxed structure of VP3O, as listed in Alexandria.

Geometry as POSCAR:
```
VP3O
1.0
-2.099 1.565 3.591
-2.435 -3.713 0.195
3.069 -1.875 2.611
O P V
1 3 1
direct
0.500 0.500 0.500 O
0.000 0.000 0.500 P
0.500 0.000 0.000 P
0.000 0.500 0.000 P
0.000 0.000 0.000 V
```

Summary:
- Fermi-level density of states (states/eV/atom) = 0.962
- M_tot (Bohr magnetons per cell) = 0.477

***

Of them, the most stable is #i and the least stable is #ii.

***

#i
First-principles (PBE with a Hubbard U) data for a relaxed structure of VP2O2, as listed in Alexandria.

Geometry as POSCAR:
```
VP2O2
1.0
-0.547 -0.502 3.454
3.422 -0.766 0.431
0.936 4.647 0.824
O P V
2 2 1
direct
0.500 0.000 0.000 O
0.000 0.500 0.000 O
0.000 0.000 0.500 P
0.000 0.000 0.000 P
0.500 0.500 0.500 V
```

Summary:
- Fermi-level density of states (states/eV/atom) = 0.189
- M_tot (Bohr magnetons per cell) = 2.568

***

#ii
First-principles (PBE with a Hubbard U) data for a relaxed structure of VP2O2, as listed in Alexandria.

Geometry as POSCAR:
```
VP2O2
1.0
3.858 0.000 0.000
0.000 3.858 0.000
0.000 0.000 4.168
O V P
2 1 2
direct
0.000 0.000 0.000 O
0.000 0.000 0.500 O
0.500 0.500 0.500 V
0.000 0.500 0.000 P
0.500 0.000 0.000 P
```

Summary:
- Fermi-level density of states (states/eV/atom) = 0.227
- M_tot (Bohr magnetons per cell) = 1.658

***

Of them, the most stable is #i and the least stable is #ii.